The following is a PBE-GGA calculation of a relaxed Nd2FeNi3Ge4 crystal, from Alexandria via LeMat-Bulk.

Unit cell a=4.1546 b=4.1546 c=9.8308 alpha=90.00 beta=90.00 gamma=90.00
Each line ends with the local moment (μB).
Positions (direct):
Nd 0.5000 0.0000 0.2478  0.01
Nd 0.0000 0.5000 0.7522  0.01
Fe 0.5000 0.5000 0.5000  2.03
Ni 0.0000 0.0000 0.5000  0.06
Ni 0.5000 0.0000 0.8755  -0.04
Ni 0.0000 0.5000 0.1245  -0.04
Ge 0.5000 0.5000 0.0000  0.00
Ge 0.0000 0.0000 0.0000  0.00
Ge 0.5000 0.0000 0.6291  -0.04
Ge 0.0000 0.5000 0.3709  -0.04

## Properties
Calculated density = 7.94 g cm⁻³
E_form = -0.62 eV/atom
Space group = P-4m2 (115)